No. 1
Crystalline NaPd2PtO4 at its relaxed geometry. Source: Alexandria via LeMat-Bulk, functional PBE.

Values from the calculation:
The value obtained for the uncorrected formation energy is -0.37 eV per atom. The calculation puts the density of states at the Fermi level at 5.8 states/eV per cell. The total energy comes out at -5.07 eV per atom.

a b c (Å): 5.2478 5.2478 5.2478
angles (deg): 96.00 116.60 116.60
Last column: nearest neighbours and their distance in Å.
Positions (direct):
Na (0.0000, 0.0000, 0.0000)  4 O 2.31
Pd (0.5000, 0.7500, 0.2500)  4 O 2.06
Pd (0.5000, 0.2500, 0.7500)  4 O 2.06
Pt (0.0000, 0.5000, 0.5000)  4 O 2.06
O (0.0000, 0.1056, 0.4386)  1 Pt 2.06, 2 Pd 2.06
O (0.6670, 0.5614, 0.5614)  1 Pt 2.06, 2 Pd 2.06
O (0.3330, 0.8944, 0.8944)  1 Pt 2.06, 2 Pd 2.06
O (0.0000, 0.4386, 0.1056)  1 Pt 2.06, 2 Pd 2.06

---

No. 2
Crystalline Na2PuPdO4 at its relaxed geometry. Source: Alexandria via LeMat-Bulk, functional PBE.

Values from the calculation:
The value obtained for the uncorrected formation energy is -1.80 eV per atom. The calculation puts the density of states at the Fermi level at 4.1 states/eV per cell. The total energy comes out at -7.05 eV per atom.

a b c (Å): 3.2839 6.2748 6.2562
angles (deg): 118.76 90.00 90.00
Last column: nearest neighbours and their distance in Å.
Positions (direct):
Na (0.5000, 0.0000, 0.5000)  4 O 2.44
Na (0.0000, 0.5000, 0.5000)  6 O 2.33-2.56
Pu (0.5000, 0.5000, 0.0000)  6 O 2.20-2.25
Pd (0.0000, 0.0000, 0.0000)  4 O 2.13
O (0.5000, 0.2437, 0.1574)  2 Pd 2.13, 1 Pu 2.25
O (0.5000, 0.7563, 0.8426)  2 Pd 2.13, 1 Pu 2.25
O (0.0000, 0.3116, 0.7422)  2 Pu 2.20, 3 Na 2.33-2.44
O (0.0000, 0.6884, 0.2578)  2 Pu 2.20, 3 Na 2.33-2.44

---

No. 3
Crystalline NaPuPdO4 at its relaxed geometry. Source: Alexandria via LeMat-Bulk, functional PBE.

Values from the calculation:
The value obtained for the uncorrected formation energy is -1.85 eV per atom. The calculation puts the density of states at the Fermi level at 12.2 states/eV per cell. The total energy comes out at -7.66 eV per atom.

a b c (Å): 6.0575 6.9425 6.6962
angles (deg): 118.83 90.00 115.87
Last column: nearest neighbours and their distance in Å.
Positions (direct):
Na (0.8293, 0.6585, 0.0793)  4 O 2.28-2.38
Na (0.1707, 0.3415, 0.9207)  4 O 2.28-2.38
Pu (0.5000, 0.0000, 0.5000)  6 O 2.14-2.22
Pu (0.5000, 0.0000, 0.0000)  6 O 2.14-2.22
Pd (0.5000, 0.5000, 0.5000)  4 O 2.07
Pd (0.0000, 0.5000, 0.5000)  4 O 2.07
O (0.7083, 0.4167, 0.6587)  2 Pd 2.07, 1 Pu 2.22
O (0.2568, 0.9375, 0.2188)  2 Pu 2.14, 1 Na 2.28
O (0.6807, 0.9375, 0.2188)  2 Pu 2.14, 1 Na 2.28
O (0.7083, 0.4167, 0.2580)  2 Pd 2.07, 1 Pu 2.22
O (0.2917, 0.5833, 0.7420)  2 Pd 2.07, 1 Pu 2.22
O (0.7432, 0.0625, 0.7812)  2 Pu 2.14, 1 Na 2.28
O (0.3193, 0.0625, 0.7812)  2 Pu 2.14, 1 Na 2.28
O (0.2917, 0.5833, 0.3413)  2 Pd 2.07, 1 Pu 2.22

---

No. 4
Crystalline NaPu2PdO8 at its relaxed geometry. Source: Alexandria via LeMat-Bulk, functional PBE.

Values from the calculation:
The value obtained for the uncorrected formation energy is -1.71 eV per atom. The calculation puts the density of states at the Fermi level at 6.6 states/eV per cell. The total energy comes out at -7.95 eV per atom.

a b c (Å): 5.6676 5.6676 6.3071
angles (deg): 90.00 90.00 120.00
Last column: nearest neighbours and their distance in Å.
Positions (direct):
Na (0.0000, 0.0000, 0.5000)  6 O 2.87, 2 Pd 3.15
Pu (0.6667, 0.3333, 0.1071)  1 O 1.85
Pu (0.3333, 0.6667, 0.8929)  1 O 1.85
Pd (0.0000, 0.0000, 0.0000)  6 O 2.05
O (0.9269, 0.6486, 0.8512)  1 Pd 2.05, 1 Pu 2.27
O (0.3514, 0.2783, 0.8512)  1 Pd 2.05, 1 Pu 2.27
O (0.7217, 0.0731, 0.8512)  1 Pd 2.05, 1 Pu 2.27
O (0.0731, 0.3514, 0.1488)  1 Pd 2.05, 1 Pu 2.27
O (0.6486, 0.7217, 0.1488)  1 Pd 2.05, 1 Pu 2.27
O (0.2783, 0.9269, 0.1488)  1 Pd 2.05, 1 Pu 2.27
O (0.6667, 0.3333, 0.3998)  1 Pu 1.85
O (0.3333, 0.6667, 0.6002)  1 Pu 1.85

---

No. 5
Crystalline Na3PuPd2O6 at its relaxed geometry. Source: Alexandria via LeMat-Bulk, functional PBE.

Values from the calculation:
The value obtained for the uncorrected formation energy is -1.48 eV per atom. The calculation puts the density of states at the Fermi level at 7.2 states/eV per cell. The total energy comes out at -6.34 eV per atom.

a b c (Å): 5.7052 5.7052 5.7383
angles (deg): 96.67 96.67 121.75
Last column: nearest neighbours and their distance in Å.
Positions (direct):
Na (0.1835, 0.8165, 0.5000)  6 O 2.41-2.48
Na (0.8165, 0.1835, 0.5000)  6 O 2.41-2.48
Na (0.5000, 0.5000, 0.5000)  6 O 2.41-2.44
Pu (0.0000, 0.0000, 0.0000)  6 O 2.02-2.23
Pd (0.3441, 0.6559, 0.0000)  2 O 2.06
Pd (0.6559, 0.3441, 0.0000)  2 O 2.06
O (0.9009, 0.5962, 0.7846)  1 Pd 2.06, 1 Pu 2.23
O (0.8025, 0.8025, 0.2538)  1 Pu 2.02
O (0.0991, 0.4038, 0.2154)  1 Pd 2.06, 1 Pu 2.23
O (0.5962, 0.9009, 0.7846)  1 Pd 2.06, 1 Pu 2.23
O (0.1975, 0.1975, 0.7462)  1 Pu 2.02
O (0.4038, 0.0991, 0.2154)  1 Pd 2.06, 1 Pu 2.23

---

No. 6
Crystalline RbNaPdO2 at its relaxed geometry. Source: Alexandria via LeMat-Bulk, functional PBE.

Values from the calculation:
The value obtained for the uncorrected formation energy is -0.91 eV per atom. The total energy comes out at -4.39 eV per atom.

a b c (Å): 5.0274 5.7730 6.5396
angles (deg): 90.00 90.00 90.00
Last column: nearest neighbours and their distance in Å.
Positions (direct):
Rb (0.2372, 0.2500, 0.5000)  2 O 2.72
Rb (0.7628, 0.7500, 0.5000)  2 O 2.72
Na (0.5062, 0.7500, 0.0000)  2 O 2.27
Na (0.4938, 0.2500, 0.0000)  2 O 2.27
Pd (0.0000, 0.0000, 0.0000)  4 O 2.09
Pd (0.0000, 0.5000, 0.0000)  4 O 2.09
O (0.8588, 0.2500, 0.7967)  2 Pd 2.09, 1 Na 2.27
O (0.8588, 0.2500, 0.2033)  2 Pd 2.09, 1 Na 2.27
O (0.1412, 0.7500, 0.7967)  2 Pd 2.09, 1 Na 2.27
O (0.1412, 0.7500, 0.2033)  2 Pd 2.09, 1 Na 2.27

---

No. 7
Crystalline RbNaPdO3 at its relaxed geometry. Source: Alexandria via LeMat-Bulk, functional PBE.

Values from the calculation:
The value obtained for the uncorrected formation energy is -0.85 eV per atom. The calculation puts the density of states at the Fermi level at 4.1 states/eV per cell. The total energy comes out at -4.58 eV per atom.

a b c (Å): 5.9497 5.8901 6.2422
angles (deg): 118.15 90.00 90.00
Last column: nearest neighbours and their distance in Å.
Positions (direct):
Rb (0.7500, 0.2819, 0.5638)  8 O 2.95-3.25, 2 Na 3.30
Rb (0.2500, 0.7181, 0.4362)  8 O 2.95-3.25, 2 Na 3.30
Na (0.2500, 0.4106, 0.8213)  5 O 2.27-2.40
Na (0.7500, 0.5894, 0.1787)  5 O 2.27-2.40
Pd (0.2500, 0.0246, 0.0491)  5 O 1.98-2.02
Pd (0.7500, 0.9754, 0.9509)  5 O 1.98-2.02
O (0.2500, 0.2045, 0.4091)  1 Pd 1.98
O (0.0000, 0.2286, 0.0000)  2 Pd 2.02
O (0.5000, 0.7714, 0.0000)  2 Pd 2.02
O (0.5000, 0.2286, 0.0000)  2 Pd 2.02
O (0.0000, 0.7714, 0.0000)  2 Pd 2.02
O (0.7500, 0.7955, 0.5909)  1 Pd 1.98

---

No. 8
Crystalline NaPdRhO6 at its relaxed geometry. Source: Alexandria via LeMat-Bulk, functional PBE.

Values from the calculation:
The value obtained for the uncorrected formation energy is -0.49 eV per atom. The calculation puts the density of states at the Fermi level at 13.2 states/eV per cell. The total energy comes out at -5.34 eV per atom.

a b c (Å): 5.2504 5.2504 10.1652
angles (deg): 90.00 90.00 120.00
Last column: nearest neighbours and their distance in Å.
Positions (direct):
Na (0.0000, 0.0000, 0.0000)  6 O 2.46
Na (0.0000, 0.0000, 0.5000)  6 O 2.46
Pd (0.3333, 0.6667, 0.2500)  6 O 1.99
Pd (0.6667, 0.3333, 0.7500)  6 O 1.99
Rh (0.6667, 0.3333, 0.2500)  6 O 1.94
Rh (0.3333, 0.6667, 0.7500)  6 O 1.94
O (0.6271, 0.6201, 0.1443)  1 Rh 1.94, 1 Pd 1.99
O (0.9930, 0.3729, 0.1443)  1 Rh 1.94, 1 Pd 1.99
O (0.3729, 0.9930, 0.6443)  1 Rh 1.94, 1 Pd 1.99
O (0.0070, 0.6271, 0.8557)  1 Rh 1.94, 1 Pd 1.99
O (0.3799, 0.3729, 0.3557)  1 Rh 1.94, 1 Pd 1.99
O (0.9930, 0.6201, 0.3557)  1 Rh 1.94, 1 Pd 1.99
O (0.6201, 0.9930, 0.8557)  1 Rh 1.94, 1 Pd 1.99
O (0.6271, 0.0070, 0.3557)  1 Rh 1.94, 1 Pd 1.99
O (0.0070, 0.3799, 0.6443)  1 Rh 1.94, 1 Pd 1.99
O (0.3799, 0.0070, 0.1443)  1 Rh 1.94, 1 Pd 1.99
O (0.6201, 0.6271, 0.6443)  1 Rh 1.94, 1 Pd 1.99
O (0.3729, 0.3799, 0.8557)  1 Rh 1.94, 1 Pd 1.99

---

What is the formula in the eighth record? NaPdRhO6